[1]
Below is PrSi2Ag2 at its PBEsol-relaxed geometry, with properties calculated at the meta-GGA SCAN level.

formation energy from raw total energies	-228	kJ/mol of formula units

abc: 4.2017 4.2017 6.0582
angles: 110.29 110.29 90.00
Sites, in units of the cell vectors:
Si1 0.3898 0.3898 0.7797
Ag1 0.7500 0.2500 0.5000
Pr1 0.0000 0.0000 0.0000
Si2 0.6102 0.6102 0.2203
Ag2 0.2500 0.7500 0.5000

---

[2]
Below is PrAgSn at its PBEsol-relaxed geometry, with properties calculated at the meta-GGA SCAN level.

energy relative to the elements	-744	meV per atom

abc: 4.7508 4.7508 7.5723
angles: 90.00 90.00 120.00
Sites, in units of the cell vectors:
Pr1 0.0000 0.0000 0.0172
Pr2 0.0000 0.0000 0.5172
Ag1 0.3333 0.6667 0.7157
Ag2 0.6667 0.3333 0.2157
Sn1 0.3333 0.6667 0.2960
Sn2 0.6667 0.3333 0.7960

---

[3]
Below is Ag5Pt6 at its PBEsol-relaxed geometry, with properties calculated at the meta-GGA SCAN level.

relative energy among the computed polymorphs	0	meV per atom
energy relative to the elements	35	meV per atom

abc: 4.8210 6.2820 6.3271
angles: 107.29 105.26 98.48
Sites, in units of the cell vectors:
Ag1 0.5975 0.3187 0.8691
Pt1 0.2250 0.0404 0.4155
Ag2 0.4025 0.6813 0.1309
Pt2 0.0468 0.4073 0.6733
Pt3 0.9532 0.5927 0.3267
Pt4 0.7750 0.9596 0.5845
Ag3 0.5000 0.5000 0.5000
Pt5 0.3188 0.8622 0.7678
Ag4 0.1365 0.2265 0.0471
Ag5 0.8635 0.7735 0.9529
Pt6 0.6812 0.1378 0.2322

---

[4]
Below is Ag7Pt5 at its PBEsol-relaxed geometry, with properties calculated at the meta-GGA SCAN level.

relative energy among the computed polymorphs	37	meV per atom
energy relative to the elements	26	meV per atom

abc: 4.8640 4.8633 9.3599
angles: 85.13 79.65 60.07
Sites, in units of the cell vectors:
Ag1 0.5788 0.3360 0.2503
Pt1 0.4242 0.6560 0.7480
Ag2 0.5040 0.0040 0.5002
Ag3 0.3272 0.3338 0.9998
Ag4 0.7526 0.9946 0.7495
Pt2 0.2401 0.0071 0.2519
Pt3 0.8416 0.3414 0.4998
Pt4 0.9105 0.6668 0.2517
Ag5 0.0029 0.9950 0.0001
Pt5 0.0823 0.3270 0.7486
Ag6 0.6641 0.6665 0.0001
Ag7 0.1717 0.6717 0.5000

---

[5]
Below is Ag5Pt6 at its PBEsol-relaxed geometry, with properties calculated at the meta-GGA SCAN level.

relative energy among the computed polymorphs	4	meV per atom
energy relative to the elements	39	meV per atom

abc: 2.7518 6.4101 10.0553
angles: 87.69 82.14 77.61
Sites, in units of the cell vectors:
Pt1 0.3607 0.3239 0.9548
Ag1 0.0000 0.5000 0.5000
Ag2 0.9100 0.0445 0.1355
Ag3 0.7309 0.1319 0.4063
Pt2 0.4609 0.7631 0.3151
Pt3 0.5391 0.2369 0.6849
Ag4 0.0900 0.9555 0.8645
Ag5 0.2691 0.8681 0.5937
Pt4 0.8192 0.5854 0.7762
Pt5 0.1808 0.4146 0.2238
Pt6 0.6393 0.6761 0.0452

---

[6]
Below is Ag7Pt5 at its PBEsol-relaxed geometry, with properties calculated at the meta-GGA SCAN level.

relative energy among the computed polymorphs	44	meV per atom
energy relative to the elements	33	meV per atom

abc: 3.9679 6.2990 8.4504
angles: 72.62 76.42 71.64
Sites, in units of the cell vectors:
Pt1 0.4219 0.9129 0.2434
Ag1 0.8342 0.8321 0.4995
Pt2 0.0823 0.5932 0.2423
Pt3 0.3292 0.3370 0.0046
Ag2 0.9160 0.4169 0.7512
Ag3 0.1687 0.1644 0.4982
Ag4 0.5842 0.0801 0.7514
Ag5 0.7497 0.2491 0.2515
Ag6 0.9979 0.0062 0.9980
Pt4 0.6683 0.6610 0.0024
Ag7 0.4989 0.5033 0.4988
Pt5 0.2487 0.7437 0.7588